## RbSn6Au12 (PBE-GGA)

Data for a relaxed structure of RbSn6Au12.

a b c (Å): 7.985 7.985 7.985
angles (deg): 98.42 98.42 98.42
Fractional positions:
Rb (0.000, 0.000, 0.000)
Sn (0.036, 0.304, 0.583)
Sn (0.304, 0.583, 0.036)
Sn (0.417, 0.964, 0.696)
Sn (0.583, 0.036, 0.304)
Sn (0.696, 0.417, 0.964)
Sn (0.964, 0.696, 0.417)
Au (0.164, 0.434, 0.304)
Au (0.197, 0.663, 0.715)
Au (0.285, 0.803, 0.337)
Au (0.304, 0.164, 0.434)
Au (0.337, 0.285, 0.803)
Au (0.434, 0.304, 0.164)
Au (0.566, 0.696, 0.836)
Au (0.663, 0.715, 0.197)
Au (0.696, 0.836, 0.566)
Au (0.715, 0.197, 0.663)
Au (0.803, 0.337, 0.285)
Au (0.836, 0.566, 0.696)

Output
**Relative energy among the computed polymorphs**: 0 meV per atom
**Energy of formation from the pure elements**: -0.099 eV per atom

***

## AcUTe (PBE-GGA)

Data for a relaxed structure of AcUTe.

a b c (Å): 11.051 11.051 4.667
angles (deg): 92.73 92.73 20.82
Fractional positions:
Ac (0.087, 0.087, 0.272)
Ac (0.913, 0.913, 0.728)
U (0.256, 0.256, 0.675)
U (0.744, 0.744, 0.325)
Te (0.356, 0.356, 0.212)
Te (0.644, 0.644, 0.788)

Output
**Formation energy from raw total energies**: -447 meV per atom

***

## ZrNb2H6 (PBE-GGA)

Data for a relaxed structure of ZrNb2H6.

a b c (Å): 5.680 5.680 3.277
angles (deg): 106.51 106.51 48.07
Fractional positions:
Zr (0.000, 0.000, 0.000)
Nb (0.330, 0.330, 0.330)
Nb (0.670, 0.670, 0.670)
H (0.088, 0.572, 0.830)
H (0.267, 0.733, 0.500)
H (0.428, 0.912, 0.170)
H (0.572, 0.088, 0.830)
H (0.733, 0.267, 0.500)
H (0.912, 0.428, 0.170)

***

## CsLaIn3 (PBE-GGA)

Data for a relaxed structure of CsLaIn3.

a b c (Å): 6.252 6.252 6.252
angles (deg): 90.00 90.00 90.00
Fractional positions:
Cs (0.000, 0.000, 0.000)
La (0.500, 0.500, 0.500)
In (0.000, 0.500, 0.500)
In (0.500, 0.000, 0.500)
In (0.500, 0.500, 0.000)

Output
**Relative energy among the computed polymorphs**: 0 meV per atom
**Energy of formation from the pure elements**: 0.278 eV per atom

***

## InAg2Te (PBE-GGA)

Data for a relaxed structure of InAg2Te.

a b c (Å): 4.677 4.677 5.930
angles (deg): 104.45 104.45 50.89
Fractional positions:
In (0.000, 0.000, 0.000)
Ag (0.250, 0.250, 0.764)
Ag (0.750, 0.750, 0.236)
Te (0.500, 0.500, 0.500)

Output
**Formation energy from raw total energies**: 24 meV per atom
**Relative energy among the computed polymorphs**: 16 meV per atom

***

## YAlNi2 (PBE-GGA)

Data for a relaxed structure of YAlNi2.

a b c (Å): 4.509 4.509 4.509
angles (deg): 60.00 60.00 60.00
Fractional positions:
Y (0.000, 0.000, 0.000)
Al (0.750, 0.750, 0.750)
Ni (0.250, 0.250, 0.250)
Ni (0.500, 0.500, 0.500)

Output
**Energy of formation from the pure elements**: -0.117 eV per atom

***

## YBeMo2 (PBE-GGA)

Data for a relaxed structure of YBeMo2.

a b c (Å): 2.794 2.794 8.476
angles (deg): 90.00 90.00 90.00
Fractional positions:
Y (0.000, 0.000, 0.000)
Be (0.000, 0.000, 0.500)
Mo (0.500, 0.500, 0.308)
Mo (0.500, 0.500, 0.692)

Output
**Energy of formation from the pure elements**: 0.403 eV per atom

***

## Sc2NbSi (PBE-GGA)

Data for a relaxed structure of Sc2NbSi.

a b c (Å): 6.093 6.093 6.093
angles (deg): 101.29 101.29 127.48
Fractional positions:
Sc (0.088, 0.625, 0.963)
Sc (0.375, 0.338, 0.463)
Sc (0.662, 0.125, 0.037)
Sc (0.875, 0.912, 0.537)
Nb (0.250, 0.750, 0.500)
Nb (0.500, 0.500, 0.000)
Si (0.000, 0.000, 0.000)
Si (0.750, 0.250, 0.500)

Output
**Formation energy from raw total energies**: 158 meV per atom

***

## InNiMo2 (PBE-GGA)

Data for a relaxed structure of InNiMo2.

a b c (Å): 3.243 3.243 6.116
angles (deg): 90.00 90.00 90.00
Fractional positions:
In (0.000, 0.000, 0.000)
Ni (0.500, 0.500, 0.762)
Mo (0.000, 0.000, 0.515)
Mo (0.500, 0.500, 0.304)

Output
**Energy of formation from the pure elements**: 0.152 eV per atom

***

## ScCo3C (PBE-GGA)

Data for a relaxed structure of ScCo3C.

a b c (Å): 4.371 4.371 4.371
angles (deg): 90.00 90.00 90.00
Fractional positions:
Sc (0.000, 0.000, 0.000)
Co (0.000, 0.000, 0.500)
Co (0.000, 0.500, 0.000)
Co (0.500, 0.000, 0.000)
C (0.500, 0.500, 0.500)

Output
**Relative energy among the computed polymorphs**: 2910 meV per atom
**Energy of formation from the pure elements**: 2.617 eV per atom

***

## ScSb3 (PBE-GGA)

Data for a relaxed structure of ScSb3.

a b c (Å): 3.962 3.962 6.473
angles (deg): 90.00 90.00 90.00
Fractional positions:
Sc (0.000, 0.000, 0.000)
Sb (0.000, 0.000, 0.500)
Sb (0.500, 0.500, 0.227)
Sb (0.500, 0.500, 0.773)

Output
**Formation energy from raw total energies**: -261 meV per atom
**Relative energy among the computed polymorphs**: 107 meV per atom

***

## Sc2CrAu (PBE-GGA)

Data for a relaxed structure of Sc2CrAu.

a b c (Å): 9.650 9.650 9.650
angles (deg): 155.31 155.31 35.20
Fractional positions:
Sc (0.115, 0.625, 0.990)
Sc (0.375, 0.365, 0.490)
Sc (0.635, 0.125, 0.010)
Sc (0.875, 0.885, 0.510)
Cr (0.000, 0.000, 0.000)
Cr (0.750, 0.250, 0.500)
Au (0.250, 0.750, 0.500)
Au (0.500, 0.500, 0.000)

Output
**Energy of formation from the pure elements**: 0.487 eV per atom

***

no.,E (eV per atom)
1,-3.484
2,-6.627
3,-5.779
4,-2.521
5,-2.872
6,-5.559
7,-7.561
8,-6.881
9,-7.393
10,-4.758
11,-4.936
12,-5.904